Record 1
Density functional theory data (PBE-GGA) for AcPm2Dy3 after structural relaxation.

Its crystal system is trigonal. The formation energy comes out at 259 meV per atom.

The space group is P-3m1 (No. 164) and the conventional cell measures 7.0764, 7.0764 and 9.8350 Å, with angles of 90.00, 90.00 and 120.00 degrees. Symmetry generates all atoms from Ac at (0.3333, 0.6667, 0.4477), Pm at (0.0000, 0.0000, 0.0000), Pm at (0.0000, 0.0000, 0.5000), Pm at (0.3333, 0.6667, 0.0878) and Dy at (0.1829, 0.3659, 0.7751).

---

Record 2
Density functional theory data (PBE-GGA) for Li9Cd2In after structural relaxation.

Its crystal system is tetragonal. The formation energy comes out at -182 meV per atom.

The space group is P4/mmm (No. 123) and the conventional cell measures 4.241, 4.241 and 12.357 Å, with angles of 90.00, 90.00 and 90.00 degrees. Symmetry generates all atoms from Li at (0.000, 0.000, 0.000), Li at (0.000, 0.000, 0.336), Li at (0.000, 0.500, 0.169), Li at (0.000, 0.500, 0.500), Cd at (0.500, 0.500, 0.335) and In at (0.500, 0.500, 0.000).

---

Copy entry 2 word for word.
Density functional theory data (PBE-GGA) for Li9Cd2In after structural relaxation.

Its crystal system is tetragonal. The formation energy comes out at -182 meV per atom.

The space group is P4/mmm (No. 123) and the conventional cell measures 4.241, 4.241 and 12.357 Å, with angles of 90.00, 90.00 and 90.00 degrees. Symmetry generates all atoms from Li at (0.000, 0.000, 0.000), Li at (0.000, 0.000, 0.336), Li at (0.000, 0.500, 0.169), Li at (0.000, 0.500, 0.500), Cd at (0.500, 0.500, 0.335) and In at (0.500, 0.500, 0.000).